A geometry-optimized PrLuBr2 structure. Source: Alexandria via LeMat-Bulk, functional PBE-GGA.

It has space group R-3m (No. 166, hexagonal axes), with a = 3.7323 Å, b = 3.7323 Å, c = 30.1453 Å, α = 90.00°, β = 90.00° and γ = 120.00°. The distinct sites, in fractional coordinates, are Pr at (0.0000, 0.0000, 0.0000), Lu at (0.0000, 0.0000, 0.5000) and Br at (0.0000, 0.0000, 0.4071).

=====

A geometry-optimized Lu2RuBr structure. Source: Alexandria via LeMat-Bulk, functional PBE-GGA.

It has space group R-3m (No. 166, hexagonal axes), with a = 3.8874 Å, b = 3.8874 Å, c = 22.7657 Å, α = 90.00°, β = 90.00° and γ = 120.00°. The distinct sites, in fractional coordinates, are Lu at (0.0000, 0.0000, 0.2309), Ru at (0.0000, 0.0000, 0.5000) and Br at (0.0000, 0.0000, 0.0000).

Its polymorph energy (0 for the lowest one) is 0.057 eV/atom.

=====

A geometry-optimized Lu2RuBr structure. Source: Alexandria via LeMat-Bulk, functional PBE-GGA.

It has space group P4/mmm (No. 123), with a = 3.3449 Å, b = 3.3449 Å, c = 8.0643 Å, α = 90.00°, β = 90.00° and γ = 90.00°. The distinct sites, in fractional coordinates, are Lu at (0.0000, 0.0000, 0.2014), Ru at (0.5000, 0.5000, 0.0000) and Br at (0.5000, 0.5000, 0.5000).

Its polymorph energy (0 for the lowest one) is 0.000 eV/atom.

=====

A geometry-optimized LuSeBr structure. Source: Alexandria via LeMat-Bulk, functional PBE-GGA.

It has space group P3m1 (No. 156), with a = 4.0392 Å, b = 4.0392 Å, c = 6.9684 Å, α = 90.00°, β = 90.00° and γ = 120.00°. The distinct sites, in fractional coordinates, are Lu at (0.0000, 0.0000, 0.0000), Se at (0.3333, 0.6667, 0.8010) and Br at (0.6667, 0.3333, 0.2543).

=====

A geometry-optimized TbLuBr2 structure. Source: Alexandria via LeMat-Bulk, functional PBE-GGA.

It has space group R-3m (No. 166, hexagonal axes), with a = 3.6425 Å, b = 3.6425 Å, c = 29.7586 Å, α = 90.00°, β = 90.00° and γ = 120.00°. The distinct sites, in fractional coordinates, are Tb at (0.0000, 0.0000, 0.0000), Lu at (0.0000, 0.0000, 0.5000) and Br at (0.0000, 0.0000, 0.4046).

=====

A geometry-optimized TbLuBr structure. Source: Alexandria via LeMat-Bulk, functional PBE-GGA.

It has space group P3m1 (No. 156), with a = 3.6802 Å, b = 3.6802 Å, c = 7.2276 Å, α = 90.00°, β = 90.00° and γ = 120.00°. The distinct sites, in fractional coordinates, are Tb at (0.0000, 0.0000, 0.0000), Lu at (0.3333, 0.6667, 0.6399) and Br at (0.6667, 0.3333, 0.3242).

=====

A geometry-optimized TbLu2Br structure. Source: Alexandria via LeMat-Bulk, functional PBE-GGA.

It has space group R-3m (No. 166, hexagonal axes), with a = 3.5939 Å, b = 3.5939 Å, c = 30.1752 Å, α = 90.00°, β = 90.00° and γ = 120.00°. The distinct sites, in fractional coordinates, are Tb at (0.0000, 0.0000, 0.0000), Lu at (0.0000, 0.0000, 0.2432) and Br at (0.0000, 0.0000, 0.5000).

=====

A geometry-optimized Tb2LuBr structure. Source: Alexandria via LeMat-Bulk, functional PBE-GGA.

It has space group R-3m (No. 166, hexagonal axes), with a = 3.6289 Å, b = 3.6289 Å, c = 30.6405 Å, α = 90.00°, β = 90.00° and γ = 120.00°. The distinct sites, in fractional coordinates, are Tb at (0.0000, 0.0000, 0.2434), Lu at (0.0000, 0.0000, 0.0000) and Br at (0.0000, 0.0000, 0.5000).

=====

A geometry-optimized LuThBr2 structure. Source: Alexandria via LeMat-Bulk, functional PBE-GGA.

It has space group R-3m (No. 166, hexagonal axes), with a = 3.6643 Å, b = 3.6643 Å, c = 30.6927 Å, α = 90.00°, β = 90.00° and γ = 120.00°. The distinct sites, in fractional coordinates, are Lu at (0.0000, 0.0000, 0.0000), Th at (0.0000, 0.0000, 0.5000) and Br at (0.0000, 0.0000, 0.0934).

=====

A geometry-optimized TmLu2Br structure. Source: Alexandria via LeMat-Bulk, functional PBE-GGA.

It has space group R-3m (No. 166, hexagonal axes), with a = 3.5871 Å, b = 3.5871 Å, c = 30.0111 Å, α = 90.00°, β = 90.00° and γ = 120.00°. The distinct sites, in fractional coordinates, are Tm at (0.0000, 0.0000, 0.0000), Lu at (0.0000, 0.0000, 0.2437) and Br at (0.0000, 0.0000, 0.5000).

=====

A geometry-optimized Tm2LuBr structure. Source: Alexandria via LeMat-Bulk, functional PBE-GGA.

It has space group R-3m (No. 166, hexagonal axes), with a = 3.5934 Å, b = 3.5934 Å, c = 30.1157 Å, α = 90.00°, β = 90.00° and γ = 120.00°. The distinct sites, in fractional coordinates, are Tm at (0.0000, 0.0000, 0.2437), Lu at (0.0000, 0.0000, 0.0000) and Br at (0.0000, 0.0000, 0.5000).

=====

A geometry-optimized Y2LuBr structure. Source: Alexandria via LeMat-Bulk, functional PBE-GGA.

It has space group R-3m (No. 166, hexagonal axes), with a = 3.6409 Å, b = 3.6409 Å, c = 30.4287 Å, α = 90.00°, β = 90.00° and γ = 120.00°. The distinct sites, in fractional coordinates, are Y at (0.0000, 0.0000, 0.2432), Lu at (0.0000, 0.0000, 0.0000) and Br at (0.0000, 0.0000, 0.5000).

=====

A geometry-optimized YLu2Br structure. Source: Alexandria via LeMat-Bulk, functional PBE-GGA.

It has space group R-3m (No. 166, hexagonal axes), with a = 3.6108 Å, b = 3.6108 Å, c = 30.1580 Å, α = 90.00°, β = 90.00° and γ = 120.00°. The distinct sites, in fractional coordinates, are Y at (0.0000, 0.0000, 0.0000), Lu at (0.0000, 0.0000, 0.2431) and Br at (0.0000, 0.0000, 0.5000).

=====

A geometry-optimized Mg4Br5 structure. Source: Alexandria via LeMat-Bulk, functional PBE-GGA.

It has space group I4/mmm (No. 139), with a = 14.0390 Å, b = 14.0390 Å, c = 3.6940 Å, α = 90.00°, β = 90.00° and γ = 90.00°. The distinct sites, in fractional coordinates, are Mg at (0.0000, 0.1935, 0.0000), Br at (0.0000, 0.0000, 0.0000) and Br at (0.1553, 0.1553, 0.5000).

Its polymorph energy (0 for the lowest one) is 0.075 eV/atom.

=====

A geometry-optimized MgBr2 structure. Source: Alexandria via LeMat-Bulk, functional PBE-GGA.

It has space group Fmmm (No. 69), with a = 3.6673 Å, b = 9.3740 Å, c = 15.8004 Å, α = 90.00°, β = 90.00° and γ = 90.00°. The distinct sites, in fractional coordinates, are Mg at (0.0000, 0.0000, 0.0000) and Br at (0.0000, 0.0000, 0.3865).

=====

A geometry-optimized MgBr3 structure. Source: Alexandria via LeMat-Bulk, functional PBE-GGA.

It has space group Fm-3m (No. 225), with a = 7.4125 Å, b = 7.4125 Å, c = 7.4125 Å, α = 90.00°, β = 90.00° and γ = 90.00°. The distinct sites, in fractional coordinates, are Mg at (0.0000, 0.0000, 0.0000), Br at (0.0000, 0.0000, 0.5000) and Br at (0.2500, 0.2500, 0.2500).

=====

A geometry-optimized MgBr2 structure. Source: Alexandria via LeMat-Bulk, functional PBE-GGA.

It has space group Pnnm (No. 58), with a = 6.3285 Å, b = 6.5945 Å, c = 3.9434 Å, α = 90.00°, β = 90.00° and γ = 90.00°. The distinct sites, in fractional coordinates, are Mg at (0.0000, 0.0000, 0.0000) and Br at (0.2202, 0.1701, 0.5000).

=====

A geometry-optimized MgBr3 structure. Source: Alexandria via LeMat-Bulk, functional PBE-GGA.

It has space group I-42d (No. 122), with a = 9.5422 Å, b = 9.5422 Å, c = 5.5258 Å, α = 90.00°, β = 90.00° and γ = 90.00°. The distinct sites, in fractional coordinates, are Mg at (0.0000, 0.0000, 0.0000), Br at (0.0000, 0.0000, 0.5000) and Br at (0.1067, 0.2500, 0.1250).

=====

A geometry-optimized Mg2Br3 structure. Source: Alexandria via LeMat-Bulk, functional PBE-GGA.

It has space group R-3m (No. 166, hexagonal axes), with a = 4.1242 Å, b = 4.1242 Å, c = 31.6900 Å, α = 90.00°, β = 90.00° and γ = 120.00°. The distinct sites, in fractional coordinates, are Mg at (0.0000, 0.0000, 0.1098), Br at (0.0000, 0.0000, 0.2665) and Br at (0.0000, 0.0000, 0.5000).

Its polymorph energy (0 for the lowest one) is 0.000 eV/atom.

=====

A geometry-optimized Mg2Br3 structure. Source: Alexandria via LeMat-Bulk, functional PBE-GGA.

It has space group Fdd2 (No. 43), with a = 11.6743 Å, b = 12.7683 Å, c = 8.3089 Å, α = 90.00°, β = 90.00° and γ = 90.00°. The distinct sites, in fractional coordinates, are Mg at (0.0499, 0.3603, 0.0000), Br at (0.0000, 0.0000, 0.8010) and Br at (0.0894, 0.2938, 0.6702).

Its polymorph energy (0 for the lowest one) is 0.044 eV/atom.

=====

no.,ΔE_f (raw) (meV per atom),magnetization (μB per atom)
1,-1044,0.000
2,-729,0.000
3,-786,0.000
4,-1803,0.000
5,-967,0.000
6,-717,0.067
7,-476,0.000
8,-515,0.000
9,-857,0.065
10,-472,0.065
11,-488,0.001
12,-519,0.002
13,-474,0.039
14,-662,0.000
15,-1270,0.000
16,-297,0.250
17,-1416,0.000
18,-799,0.250
19,-1022,0.000
20,-979,0.000